A.
This record from Alexandria describes PmPr3N3 after structural relaxation. The functional is PBE-GGA.

a b c (Å): 5.353 8.350 8.350
angles (deg): 119.99 90.00 90.00
Element x y z (fractional)
N (0.250, 0.833, 0.167)
N (0.750, 0.666, 0.833)
N (0.750, 0.167, 0.334)
N (0.750, 0.167, 0.833)
N (0.250, 0.334, 0.167)
N (0.250, 0.833, 0.666)
Pr (0.250, 0.165, 0.330)
Pr (0.250, 0.165, 0.835)
Pr (0.250, 0.670, 0.835)
Pr (0.750, 0.835, 0.670)
Pr (0.750, 0.835, 0.165)
Pr (0.750, 0.330, 0.165)
Pm (0.750, 0.333, 0.667)
Pm (0.250, 0.667, 0.333)

Values from the calculation:
Symmetry: P6_3/mmc (194)

***

B.
This record from Alexandria describes PmPr3N3 after structural relaxation. The functional is PBE-GGA.

a b c (Å): 8.417 6.894 6.894
angles (deg): 114.70 97.99 97.99
Element x y z (fractional)
Pr (0.639, 0.691, 0.691)
Pr (0.000, 0.155, 0.845)
Pr (0.361, 0.309, 0.309)
Pr (0.500, 0.781, 0.219)
Pr (0.500, 0.219, 0.781)
Pr (0.000, 0.845, 0.155)
N (0.420, 0.807, 0.550)
N (0.580, 0.193, 0.450)
N (0.580, 0.450, 0.193)
N (0.420, 0.550, 0.807)
N (0.814, 0.999, 0.999)
N (0.186, 0.001, 0.001)
Pm (0.782, 0.306, 0.306)
Pm (0.218, 0.694, 0.694)

Values from the calculation:
Symmetry: C2/m (12)

***

Which of them is least stable? Easy: B.

***

A.
This record from Alexandria describes PmPtN after structural relaxation. The functional is PBE-GGA.

a b c (Å): 4.116 4.116 4.588
angles (deg): 116.65 116.65 90.00
Element x y z (fractional)
N (0.269, 0.269, 0.539)
Pt (0.998, 0.998, 0.996)
Pm (0.583, 0.583, 0.165)

Values from the calculation:
Symmetry: I4mm (107)

***

B.
This record from Alexandria describes PmPtN after structural relaxation. The functional is PBE-GGA.

a b c (Å): 3.459 5.671 3.459
angles (deg): 72.25 90.00 107.75
Element x y z (fractional)
Pm (0.770, 0.540, 0.230)
Pt (0.088, 0.175, 0.912)
N (0.292, 0.585, 0.708)

Values from the calculation:
Symmetry: I4mm (107)

***

Which of them is least stable? Easy: A.